Compound: CrSiAg
Source: the Alexandria database
Functional: PBE-GGA
Structure: optimized geometry

a = 4.291 Å, b = 4.291 Å, c = 2.856 Å
α = 90.00°, β = 90.00°, γ = 120.00°
Each line ends with the local moment (μB).
Element x y z (fractional)
Ag 0.000 0.000 0.833  0.00
Si 0.667 0.333 0.834  -0.12
Cr 0.333 0.667 0.333  2.98

Calculated values
**Energy above the lowest structure with this stoichiometry**: 0.020 eV/atom
**Crystal system**: hexagonal
**SG**: P-6m2 (187)
**Formation energy (no corrections)**: 280 meV per atom

***

Compound: MnCd2Pb
Source: the Alexandria database
Functional: PBE-GGA
Structure: optimized geometry

a = 8.254 Å, b = 8.254 Å, c = 6.506 Å
α = 50.63°, β = 50.63°, γ = 90.00°
Each line ends with the local moment (μB).
Element x y z (fractional)
Mn 0.250 0.750 0.500  3.78
Cd 0.592 0.125 0.250  -0.02
Cd 0.875 0.842 0.750  -0.02
Pb 0.750 0.250 0.500  -0.07
Mn 0.500 0.500 0.000  3.78
Pb 0.000 0.000 0.000  -0.07
Cd 0.158 0.625 0.250  -0.03
Cd 0.375 0.408 0.750  -0.02

Calculated values
**Crystal system**: tetragonal
**E_form**: 1.5 eV/f.u.
**SG**: I-42d (122)

***

Compound: Re4OsRu
Source: the Alexandria database
Functional: PBE-GGA
Structure: optimized geometry

a = 5.093 Å, b = 5.093 Å, c = 5.093 Å
α = 60.00°, β = 60.00°, γ = 60.00°
Element x y z (fractional)
Re 0.375 0.375 0.874
Os 0.000 0.000 0.000
Re 0.375 0.375 0.375
Re 0.874 0.375 0.375
Ru 0.750 0.750 0.750
Re 0.375 0.874 0.375

Calculated values
**Energy above the lowest structure with this stoichiometry**: 0.535 eV/atom
**Crystal system**: cubic
**E_form**: 2.9 eV/f.u.
**SG**: F-43m (216)

***

Compound: AgH2IrI
Source: the Alexandria database
Functional: PBE-GGA
Structure: optimized geometry

a = 3.679 Å, b = 7.244 Å, c = 3.679 Å
α = 90.00°, β = 90.00°, γ = 90.00°
Element x y z (fractional)
I 0.000 0.500 0.000
H 0.000 0.000 0.500
Ag 0.000 0.000 0.000
Ir 0.500 0.500 0.500
H 0.500 0.000 0.000

Calculated values
**Crystal system**: tetragonal
**SG**: P4/mmm (123)
**Uncorrected energy**: -3.127 eV per atom

***

Compound: Pr4Tm5Zn
Source: the Alexandria database
Functional: PBE-GGA
Structure: optimized geometry

a = 3.590 Å, b = 3.590 Å, c = 23.912 Å
α = 90.00°, β = 90.00°, γ = 90.00°
Element x y z (fractional)
Pr 0.000 0.000 0.819
Tm 0.500 0.500 0.928
Zn 0.000 0.000 0.000
Tm 0.500 0.500 0.713
Tm 0.500 0.500 0.500
Pr 0.000 0.000 0.394
Tm 0.500 0.500 0.072
Tm 0.500 0.500 0.287
Pr 0.000 0.000 0.181
Pr 0.000 0.000 0.606

Calculated values
**Crystal system**: tetragonal
**E_form**: -0.5 eV/f.u.
**SG**: P4/mmm (123)

***

Compound: PaBe2Ni2
Source: the Alexandria database
Functional: PBE-GGA
Structure: optimized geometry

a = 3.724 Å, b = 3.911 Å, c = 5.309 Å
α = 112.81°, β = 110.53°, γ = 90.00°
Element x y z (fractional)
Ni 0.634 0.562 0.268
Ni 0.366 0.438 0.732
Be 0.748 0.182 0.496
Pa 0.000 0.000 0.000
Be 0.252 0.818 0.504

Calculated values
**Energy above the lowest structure with this stoichiometry**: 0.082 eV/atom
**Crystal system**: monoclinic
**E_form**: -1.3 eV/f.u.
**SG**: C2/m (12)

***

Compound: ZnOsSe2
Source: the Alexandria database
Functional: PBE-GGA
Structure: optimized geometry

a = 4.987 Å, b = 4.987 Å, c = 4.987 Å
α = 132.34°, β = 132.34°, γ = 69.69°
Element x y z (fractional)
Os 0.750 0.250 0.500
Se 0.250 0.750 0.500
Zn 0.500 0.500 0.000
Se 0.000 0.000 0.000

Calculated values
**Crystal system**: tetragonal
**SG**: I-4m2 (119)
**Formation energy (no corrections)**: 729 meV per atom

***

Compound: LiBrO3
Source: the Alexandria database
Functional: PBE-GGA
Structure: optimized geometry

a = 5.606 Å, b = 6.432 Å, c = 8.587 Å
α = 90.00°, β = 90.00°, γ = 90.00°
Element x y z (fractional)
O 0.655 0.846 0.103
O 0.311 0.832 0.887
Li 0.385 0.443 0.707
O 0.189 0.332 0.887
Li 0.615 0.557 0.207
O 0.710 0.553 0.677
O 0.689 0.168 0.387
O 0.290 0.447 0.177
Br 0.587 0.021 0.536
O 0.210 0.947 0.177
O 0.811 0.668 0.387
Br 0.087 0.479 0.036
Br 0.413 0.979 0.036
Li 0.885 0.057 0.207
Br 0.913 0.521 0.536
Li 0.115 0.943 0.707
O 0.155 0.654 0.603
O 0.845 0.346 0.103
O 0.790 0.053 0.677
O 0.345 0.154 0.603

Calculated values
**Crystal system**: orthorhombic
**SG**: Pna2_1 (33)
**Formation energy (no corrections)**: -577 meV per atom

***

Compound: LaGaN3
Source: the Alexandria database
Functional: PBE-GGA
Structure: optimized geometry

a = 3.946 Å, b = 3.946 Å, c = 3.946 Å
α = 90.00°, β = 90.00°, γ = 90.00°
Element x y z (fractional)
N 0.000 0.500 0.000
Ga 0.000 0.000 0.000
N 0.500 0.000 0.000
La 0.500 0.500 0.500
N 0.000 0.000 0.500

Calculated values
**Crystal system**: cubic
**SG**: Pm-3m (221)
**Formation energy (no corrections)**: 112 meV per atom

***

Compound: K2YCd
Source: the Alexandria database
Functional: PBE-GGA
Structure: optimized geometry

a = 6.816 Å, b = 3.641 Å, c = 6.065 Å
α = 87.06°, β = 90.00°, γ = 90.00°
Element x y z (fractional)
K 0.000 0.519 0.512
Cd 0.500 0.750 0.750
K 0.000 0.981 0.988
Y 0.500 0.250 0.250

Calculated values
**Crystal system**: monoclinic
**E_form**: 1.2 eV/f.u.
**SG**: P2/m (10)

***

Compound: Pm12SbRh6
Source: the Alexandria database
Functional: PBE-GGA
Structure: optimized geometry

a = 8.796 Å, b = 8.796 Å, c = 8.796 Å
α = 109.47°, β = 109.47°, γ = 109.47°
Element x y z (fractional)
Pm 0.305 0.118 0.813
Pm 0.813 0.305 0.118
Pm 0.695 0.882 0.187
Pm 0.305 0.492 0.187
Pm 0.187 0.695 0.882
Rh 0.868 0.368 0.500
Pm 0.882 0.187 0.695
Rh 0.132 0.632 0.500
Pm 0.695 0.508 0.813
Pm 0.118 0.813 0.305
Rh 0.500 0.868 0.368
Pm 0.813 0.695 0.508
Pm 0.508 0.813 0.695
Pm 0.187 0.305 0.492
Pm 0.492 0.187 0.305
Rh 0.632 0.500 0.132
Rh 0.368 0.500 0.868
Rh 0.500 0.132 0.632
Sb 0.000 0.000 0.000

Calculated values
**Crystal system**: cubic
**SG**: Im-3 (204)
**Formation energy (no corrections)**: -591 meV per atom

***

Compound: Mo2PbCl
Source: the Alexandria database
Functional: PBE-GGA
Structure: optimized geometry

a = 10.276 Å, b = 10.276 Å, c = 10.276 Å
α = 18.16°, β = 18.16°, γ = 18.16°
Element x y z (fractional)
Cl 0.721 0.721 0.721
Mo 0.993 0.993 0.993
Mo 0.271 0.271 0.271
Pb 0.515 0.515 0.515

Calculated values
**Energy above the lowest structure with this stoichiometry**: 0.039 eV/atom
**Crystal system**: trigonal
**SG**: R3m (160)
**Formation energy (no corrections)**: 105 meV per atom

***

Compound: Os3PtW
Source: the Alexandria database
Functional: PBE-GGA
Structure: optimized geometry

a = 4.678 Å, b = 4.678 Å, c = 4.678 Å
α = 90.00°, β = 90.00°, γ = 90.00°
Each line ends with the local moment (μB).
Element x y z (fractional)
W 0.000 0.000 0.000  -0.12
Pt 0.500 0.500 0.500  0.28
Os 0.000 0.000 0.500  0.72
Os 0.000 0.500 0.000  0.78
Os 0.500 0.000 0.000  0.78

Calculated values
**Energy above the lowest structure with this stoichiometry**: 1.035 eV/atom
**Crystal system**: cubic
**E_form**: 12.0 eV/f.u.
**SG**: Pm-3m (221)

***

Compound: La2Dy5Ho3
Source: the Alexandria database
Functional: PBE-GGA
Structure: optimized geometry

a = 10.835 Å, b = 9.798 Å, c = 11.328 Å
α = 130.06°, β = 132.00°, γ = 63.81°
Element x y z (fractional)
La 0.549 0.248 0.252
La 0.203 0.003 0.252
Dy 0.826 0.597 0.750
Ho 0.703 0.467 0.249
Dy 0.249 0.499 0.997
Dy 0.532 0.282 0.565
Dy 0.576 0.846 0.250
Dy 0.468 0.718 0.435
Ho 0.773 0.023 0.045
La 0.451 0.752 0.748
Dy 0.996 0.746 0.493
Dy 0.751 0.501 0.003
Ho 0.954 0.219 0.751
Ho 0.046 0.781 0.249
Ho 0.297 0.533 0.751
Ho 0.227 0.977 0.955
Dy 0.004 0.254 0.507
Dy 0.424 0.154 0.750
Dy 0.174 0.403 0.250
La 0.797 0.997 0.748

Calculated values
**Crystal system**: monoclinic
**E_form**: 2.1 eV/f.u.
**SG**: C2/c (15)

***

Compound: K2RbScF
Source: the Alexandria database
Functional: PBE-GGA
Structure: optimized geometry

a = 7.611 Å, b = 6.729 Å, c = 7.611 Å
α = 90.00°, β = 90.00°, γ = 90.00°
Each line ends with the local moment (μB).
Element x y z (fractional)
K 0.000 0.000 0.500  0.01
F 0.500 0.500 0.500  0.00
K 0.500 0.000 0.000  0.02
Sc 0.000 0.500 0.000  1.16
Rb 0.000 0.000 0.000  0.06

Calculated values
**Crystal system**: tetragonal
**SG**: P4/mmm (123)
**Formation energy (no corrections)**: 456 meV per atom

***

Compound: Ca2AlSe2
Source: the Alexandria database
Functional: PBE-GGA
Structure: optimized geometry

a = 7.303 Å, b = 7.303 Å, c = 7.303 Å
α = 139.45°, β = 139.45°, γ = 58.70°
Each line ends with the local moment (μB).
Element x y z (fractional)
Ca 0.250 0.750 0.500  0.02
Ca 0.750 0.250 0.500  0.02
Al 0.000 0.000 0.000  0.06
Se 0.643 0.643 0.000  0.03
Se 0.357 0.357 0.000  0.03

Calculated values
**Crystal system**: tetragonal
**SG**: I4/mmm (139)
**Formation energy (no corrections)**: -807 meV per atom

***

Compound: PaTi2Ir
Source: the Alexandria database
Functional: PBE-GGA
Structure: optimized geometry

a = 3.052 Å, b = 3.052 Å, c = 7.808 Å
α = 90.00°, β = 90.00°, γ = 90.00°
Each line ends with the local moment (μB).
Element x y z (fractional)
Ir 0.500 0.500 0.000  0.01
Pa 0.500 0.500 0.500  0.17
Ti 0.000 0.000 0.207  0.09
Ti 0.000 0.000 0.793  0.09

Calculated values
**Energy above the lowest structure with this stoichiometry**: 0.000 eV/atom
**Crystal system**: tetragonal
**E_form**: -1.5 eV/f.u.
**SG**: P4/mmm (123)

***

Compound: ZnTcS2N
Source: the Alexandria database
Functional: PBE-GGA
Structure: optimized geometry

a = 4.813 Å, b = 4.813 Å, c = 3.700 Å
α = 90.00°, β = 90.00°, γ = 90.00°
Element x y z (fractional)
Zn 0.500 0.500 0.500
Tc 0.000 0.000 0.000
S 0.500 0.000 0.000
S 0.000 0.500 0.000
N 0.000 0.000 0.500

Calculated values
**Energy above the lowest structure with this stoichiometry**: 0.000 eV/atom
**Crystal system**: tetragonal
**SG**: P4/mmm (123)
**Formation energy (no corrections)**: 287 meV per atom

***

Compound: La2PmSi4
Source: the Alexandria database
Functional: PBE-GGA
Structure: optimized geometry

a = 4.000 Å, b = 4.456 Å, c = 9.600 Å
α = 103.42°, β = 102.02°, γ = 90.00°
Each line ends with the local moment (μB).
Element x y z (fractional)
Si 0.936 0.436 0.871  0.00
Si 0.064 0.564 0.129  0.00
Pm 0.500 0.000 0.000  0.00
La 0.182 0.182 0.364  0.06
La 0.818 0.818 0.636  0.06
Si 0.640 0.640 0.279  0.00
Si 0.360 0.360 0.721  0.00

Calculated values
**Crystal system**: orthorhombic
**SG**: Immm (71)
**Formation energy (no corrections)**: -702 meV per atom

***

Compound: La4NdS5
Source: the Alexandria database
Functional: PBE-GGA
Structure: optimized geometry

a = 4.137 Å, b = 5.856 Å, c = 10.957 Å
α = 105.50°, β = 100.88°, γ = 90.00°
Element x y z (fractional)
La 0.199 0.199 0.399
S 0.800 0.300 0.600
Nd 0.000 0.000 0.000
La 0.801 0.801 0.601
La 0.400 0.400 0.801
S 0.402 0.902 0.804
La 0.600 0.600 0.199
S 0.598 0.098 0.196
S 0.000 0.500 0.000
S 0.200 0.700 0.400

Calculated values
**Crystal system**: orthorhombic
**SG**: Immm (71)
**Formation energy (no corrections)**: -2137 meV per atom

***

Compound: CdCo4Si
Source: the Alexandria database
Functional: PBE-GGA
Structure: optimized geometry

a = 4.795 Å, b = 4.795 Å, c = 4.795 Å
α = 60.00°, β = 60.00°, γ = 60.00°
Each line ends with the local moment (μB).
Element x y z (fractional)
Si 0.750 0.750 0.750  0.03
Co 0.873 0.376 0.376  1.51
Co 0.376 0.873 0.376  1.51
Co 0.376 0.376 0.376  1.51
Cd 0.000 0.000 0.000  -0.03
Co 0.376 0.376 0.873  1.51

Calculated values
**Crystal system**: cubic
**SG**: F-43m (216)
**Formation energy (no corrections)**: 268 meV per atom

***

Compound: TbMgSn2
Source: the Alexandria database
Functional: PBE-GGA
Structure: optimized geometry

a = 4.541 Å, b = 4.541 Å, c = 6.956 Å
α = 70.95°, β = 70.95°, γ = 60.00°
Element x y z (fractional)
Mg 0.493 0.493 0.521
Sn 0.091 0.091 0.727
Sn 0.244 0.244 0.269
Tb 0.673 0.673 0.982

Calculated values
**Crystal system**: trigonal
**E_form**: -1.3 eV/f.u.
**SG**: R3m (160)

***

Compound: K3Na2TlF6
Source: the Alexandria database
Functional: PBE-GGA
Structure: optimized geometry

a = 3.712 Å, b = 7.495 Å, c = 8.261 Å
α = 102.94°, β = 102.98°, γ = 90.00°
Element x y z (fractional)
F 0.672 0.107 0.344
K 0.500 0.500 0.000
Na 0.172 0.345 0.344
K 0.166 0.828 0.331
F 0.675 0.570 0.350
F 0.986 0.729 0.973
K 0.834 0.172 0.669
Tl 0.500 0.000 0.000
F 0.325 0.430 0.650
F 0.328 0.893 0.656
Na 0.828 0.655 0.656
F 0.014 0.271 0.027

Calculated values
**Crystal system**: monoclinic
**SG**: C2/m (12)
**Formation energy (no corrections)**: -2517 meV per atom

***

Compound: LiZrCd2
Source: the Alexandria database
Functional: PBE-GGA
Structure: optimized geometry

a = 4.862 Å, b = 4.862 Å, c = 4.862 Å
α = 60.00°, β = 60.00°, γ = 60.00°
Element x y z (fractional)
Cd 0.750 0.750 0.750
Zr 0.500 0.500 0.500
Li 0.000 0.000 0.000
Cd 0.250 0.250 0.250

Calculated values
**Energy above the lowest structure with this stoichiometry**: 0.081 eV/atom
**Crystal system**: cubic
**E_form**: -0.4 eV/f.u.
**SG**: Fm-3m (225)

***

Compound: Tm2SiRu
Source: the Alexandria database
Functional: PBE-GGA
Structure: optimized geometry

a = 3.459 Å, b = 3.459 Å, c = 6.621 Å
α = 90.00°, β = 90.00°, γ = 90.00°
Element x y z (fractional)
Si 0.500 0.500 0.500
Ru 0.500 0.500 0.000
Tm 0.000 0.000 0.758
Tm 0.000 0.000 0.242

Calculated values
**Energy above the lowest structure with this stoichiometry**: 0.120 eV/atom
**Crystal system**: tetragonal
**SG**: P4/mmm (123)
**Formation energy (no corrections)**: -529 meV per atom